Computed, not measured: a relaxed structure of TbSnSe2O at the PBE level of DFT.

## Properties
ΔE_f (raw) = -39.550 kcal/mol of atoms
Fermi-level density of states = 2.4 states/eV per cell
M_tot = 0.00 Bohr magnetons per cell

Lattice parameters (Å, degrees): 3.907 3.907 15.495 90.00 90.00 90.00
Sites, in units of the cell vectors:
1 Tb 0.250 0.250 0.074
2 Tb 0.750 0.750 0.926
3 Sn 0.250 0.250 0.658
4 Sn 0.750 0.750 0.342
5 Se 0.250 0.250 0.392
6 Se 0.250 0.250 0.824
7 Se 0.750 0.750 0.176
8 Se 0.750 0.750 0.608
9 O 0.250 0.750 0.000
10 O 0.750 0.250 0.000